Entry from Alexandria: an optimized crystal structure of TlAg2Cl3 (PBE-GGA).

Cell: 8.125 8.125 5.753 Å, 90.00 90.00 110.79°
Element x y z (fractional)
Tl 0.236 0.764 0.750
Tl 0.764 0.236 0.250
Ag 0.294 0.294 0.000
Ag 0.294 0.294 0.500
Ag 0.706 0.706 0.000
Ag 0.706 0.706 0.500
Cl 0.062 0.348 0.750
Cl 0.348 0.062 0.250
Cl 0.391 0.609 0.250
Cl 0.609 0.391 0.750
Cl 0.652 0.938 0.750
Cl 0.938 0.652 0.250

Summary:
- raw total energy (eV per atom) = -2.868
- ΔE to the lowest computed polymorph (meV/atom) = 28
- size of the total moment (Bohr magnetons per cell) = 0.00
- mass density (g/cm³) = 4.92